# 1
A plane-wave DFT calculation with PBE-GGA was carried out for crystalline Hf2Zr3Hg at its relaxed geometry.

Structure (POSCAR):
```
Hf2Zr3Hg
1.0
4.457 0.000 0.000
0.000 4.234 -1.432
0.000 0.030 7.065
Zr Hg Hf
3 1 2
direct
0.500 0.500 0.000
0.500 0.168 0.335
0.500 0.832 0.665
0.000 0.000 0.000
0.000 0.333 0.665
0.000 0.667 0.335
```

Values from the calculation:
Energy above the most stable polymorph in this dataset (meV/atom): 9
Space-group type: Cmmm, No. 65
E_form (eV/atom): -0.0540

---

# 2
A plane-wave DFT calculation with PBE-GGA was carried out for crystalline Zr3NiAg at its relaxed geometry.

Structure (POSCAR):
```
Zr3NiAg
1.0
5.097 0.000 0.000
0.000 5.097 0.000
0.000 0.000 5.097
Ag Zr Ni
1 3 1
direct
0.000 0.000 0.000
0.000 0.500 0.000
0.500 0.000 0.000
0.000 0.000 0.500
0.500 0.500 0.500
```

Values from the calculation:
Energy above the most stable polymorph in this dataset (meV/atom): 990
Space-group type: Pm-3m, No. 221
E_form (eV/atom): 1.2964

---

# 3
A plane-wave DFT calculation with PBE-GGA was carried out for crystalline Nd2MnAs4Rh3 at its relaxed geometry.

Structure (POSCAR):
```
Nd2MnAs4Rh3
1.0
-4.106 -0.686 -1.071
-0.441 -2.626 3.374
-2.807 7.838 5.734
Nd As Rh Mn
2 4 3 1
direct
0.000 0.500 0.757
0.500 0.000 0.243
0.000 0.500 0.365
0.000 0.000 0.000
0.500 0.500 0.000
0.500 0.000 0.635
0.000 0.000 0.500
0.500 0.000 0.880
0.000 0.500 0.120
0.500 0.500 0.500
```

Values from the calculation:
Space-group type: P-4m2, No. 115
E_form (eV/atom): -0.8468

---

# 4
A plane-wave DFT calculation with PBE-GGA was carried out for crystalline KAgPb2F6 at its relaxed geometry.

Structure (POSCAR):
```
KAgPb2F6
1.0
6.364 0.000 0.000
0.000 5.570 0.000
0.000 0.000 5.570
K F Pb Ag
1 6 2 1
direct
0.525 0.500 0.500
0.775 0.756 0.756
0.775 0.244 0.244
0.775 0.756 0.244
0.130 0.500 0.500
0.775 0.244 0.756
0.184 0.000 0.000
0.989 0.500 0.000
0.989 0.000 0.500
0.530 0.000 0.000
```

Values from the calculation:
Formation energy without anion corrections (meV/atom): -2102
Space-group type: P4mm, No. 99

---

# 5
A plane-wave DFT calculation with PBE-GGA was carried out for crystalline MnAl4Ni at its relaxed geometry.

Structure (POSCAR):
```
MnAl4Ni
1.0
0.000 3.564 3.564
3.564 0.000 3.564
3.564 3.564 0.000
Mn Al Ni
1 4 1
direct
0.250 0.250 0.250
0.625 0.125 0.625
0.125 0.625 0.625
0.625 0.625 0.625
0.625 0.625 0.125
0.000 0.000 0.000
```

Values from the calculation:
Space-group type: F-43m, No. 216
E_form (eV/atom): 0.2067

---

# 6
A plane-wave DFT calculation with PBE-GGA was carried out for crystalline AlGe2I8 at its relaxed geometry.

Structure (POSCAR):
```
AlGe2I8
1.0
-0.698 -5.864 6.637
7.642 4.155 -1.472
-2.213 5.458 4.589
I Ge Al
8 2 1
direct
0.696 0.391 0.631
0.835 0.670 0.160
0.165 0.330 0.840
0.169 0.882 0.776
0.713 0.882 0.776
0.287 0.118 0.224
0.831 0.118 0.224
0.304 0.609 0.369
0.138 0.277 0.453
0.862 0.723 0.547
0.000 0.000 0.000
```

Values from the calculation:
Formation energy without anion corrections (meV/atom): -302
Space-group type: C2/m, No. 12

---

# 7
A plane-wave DFT calculation with PBE-GGA was carried out for crystalline Ac6SnPb2 at its relaxed geometry.

Structure (POSCAR):
```
Ac6SnPb2
1.0
-4.933 3.009 -3.756
-6.640 -4.315 5.264
-0.171 8.741 6.948
Ac Pb Sn
12 4 2
direct
0.119 0.332 0.439
0.879 0.966 0.222
0.607 0.180 0.557
0.381 0.832 0.061
0.121 0.034 0.778
0.393 0.820 0.443
0.379 0.534 0.722
0.619 0.168 0.939
0.881 0.668 0.561
0.621 0.466 0.278
0.107 0.320 0.057
0.893 0.680 0.943
0.580 0.876 0.750
0.420 0.124 0.250
0.920 0.376 0.750
0.080 0.624 0.250
0.500 0.500 0.000
0.000 0.000 0.500
```

Values from the calculation:
Space-group type: P2_1/c, No. 14
E_form (eV/atom): -0.3525

---

# 8
A plane-wave DFT calculation with PBE-GGA was carried out for crystalline Ta2TlP at its relaxed geometry.

Structure (POSCAR):
```
Ta2TlP
1.0
1.733 -2.375 0.000
1.733 2.375 0.000
0.000 0.000 10.570
Tl Ta P
1 2 1
direct
0.000 0.000 0.529
0.500 0.500 0.793
0.000 0.000 0.004
0.500 0.500 0.174
```

Values from the calculation:
Energy above the most stable polymorph in this dataset (meV/atom): 208
Space-group type: Cmm2, No. 35
E_form (eV/atom): 0.1427

---

# 9
A plane-wave DFT calculation with PBE-GGA was carried out for crystalline Hf2AgPd4 at its relaxed geometry.

Structure (POSCAR):
```
Hf2AgPd4
1.0
6.026 0.000 -0.104
0.000 5.220 0.000
-2.309 0.000 7.953
Pd Hf Ag
8 4 2
direct
0.627 0.497 0.273
0.931 0.250 0.542
0.069 0.750 0.458
0.050 0.750 0.833
0.373 0.503 0.727
0.373 0.997 0.727
0.627 0.003 0.273
0.950 0.250 0.167
0.707 0.750 0.998
0.321 0.250 0.423
0.679 0.750 0.577
0.293 0.250 0.002
0.203 0.750 0.177
0.797 0.250 0.823
```

Values from the calculation:
Energy above the most stable polymorph in this dataset (meV/atom): 0
Space-group type: P2_1/m, No. 11
E_form (eV/atom): -0.4452

---

# 10
A plane-wave DFT calculation with PBE-GGA was carried out for crystalline La2Pr7Nd2 at its relaxed geometry.

Structure (POSCAR):
```
La2Pr7Nd2
1.0
-3.555 -6.327 -4.100
-2.684 -9.603 4.214
-5.127 5.179 -4.046
Pr Nd La
7 2 2
direct
0.756 0.674 0.758
0.339 0.927 0.661
0.758 0.326 0.756
0.242 0.674 0.244
0.000 0.500 0.000
0.244 0.326 0.242
0.661 0.073 0.339
0.287 0.000 0.287
0.713 0.000 0.713
0.216 0.689 0.784
0.784 0.311 0.216
```

Values from the calculation:
Energy above the most stable polymorph in this dataset (meV/atom): 0
Space-group type: C2/m, No. 12
E_form (eV/atom): 0.1220

---

# 11
A plane-wave DFT calculation with PBE-GGA was carried out for crystalline La2PaS4 at its relaxed geometry.

Structure (POSCAR):
```
La2PaS4
1.0
3.923 0.000 0.000
-1.962 6.915 0.000
0.000 0.000 13.280
S La Pa
8 4 2
direct
0.221 0.442 0.629
0.500 0.000 0.500
0.779 0.558 0.371
0.221 0.442 0.871
0.779 0.558 0.129
0.987 0.974 0.750
0.013 0.026 0.250
0.500 0.000 0.000
0.866 0.733 0.927
0.134 0.267 0.427
0.866 0.733 0.573
0.134 0.267 0.073
0.629 0.258 0.750
0.371 0.742 0.250
```

Values from the calculation:
Formation energy without anion corrections (meV/atom): -1867
Space-group type: Cmcm, No. 63

---

# 12
A plane-wave DFT calculation with PBE-GGA was carried out for crystalline Sm9Y4Zn11 at its relaxed geometry.

Structure (POSCAR):
```
Sm9Y4Zn11
1.0
3.509 0.000 0.000
0.000 12.422 -4.715
0.000 0.546 13.276
Y Zn Sm
4 11 9
direct
0.500 0.423 0.246
0.500 0.577 0.754
0.500 0.246 0.423
0.500 0.754 0.577
0.000 0.583 0.945
0.000 0.826 0.174
0.000 0.370 0.630
0.000 0.174 0.826
0.000 0.945 0.583
0.000 0.630 0.370
0.000 0.055 0.417
0.000 0.417 0.055
0.000 0.000 0.000
0.000 0.773 0.773
0.000 0.227 0.227
0.500 0.377 0.853
0.500 0.795 0.974
0.500 0.026 0.205
0.500 0.500 0.500
0.500 0.974 0.795
0.500 0.853 0.377
0.500 0.623 0.147
0.500 0.205 0.026
0.500 0.147 0.623
```

Values from the calculation:
Space-group type: Cmmm, No. 65
E_form (eV/atom): -0.2388

---

# 13
A plane-wave DFT calculation with PBE-GGA was carried out for crystalline La2AlAgH at its relaxed geometry.

Structure (POSCAR):
```
La2AlAgH
1.0
-4.428 -0.556 -2.749
-0.034 -5.127 1.092
-2.179 0.730 3.362
Ag La Al H
1 2 1 1
direct
0.500 0.500 0.500
0.500 0.000 0.000
0.000 0.500 0.000
0.000 0.000 0.500
0.000 0.000 0.000
```

Values from the calculation:
Energy above the most stable polymorph in this dataset (meV/atom): 50
Space-group type: P4/mmm, No. 123

---

# 14
A plane-wave DFT calculation with PBE-GGA was carried out for crystalline Ti2ZnCu2 at its relaxed geometry.

Structure (POSCAR):
```
Ti2ZnCu2
1.0
3.027 0.000 0.000
0.000 5.909 -1.324
-1.514 -2.686 8.694
Cu Ti Zn
4 4 2
direct
0.591 0.138 0.183
0.409 0.862 0.817
0.409 0.362 0.817
0.591 0.638 0.183
0.807 0.960 0.614
0.193 0.540 0.386
0.193 0.040 0.386
0.807 0.460 0.614
0.000 0.750 0.000
0.000 0.250 0.000
```

Values from the calculation:
Energy above the most stable polymorph in this dataset (meV/atom): 7
Space-group type: C2/m, No. 12
E_form (eV/atom): -0.1262

---

# 15
A plane-wave DFT calculation with PBE-GGA was carried out for crystalline TaZn3Cd at its relaxed geometry.

Structure (POSCAR):
```
TaZn3Cd
1.0
4.731 0.000 0.000
0.000 4.731 0.000
0.000 0.000 4.731
Zn Cd Ta
3 1 1
direct
0.000 0.000 0.500
0.500 0.000 0.000
0.000 0.500 0.000
0.000 0.000 0.000
0.500 0.500 0.500
```

Values from the calculation:
Energy above the most stable polymorph in this dataset (meV/atom): 212
Space-group type: Pm-3m, No. 221
E_form (eV/atom): 1.2612

---

# 16
A plane-wave DFT calculation with PBE-GGA was carried out for crystalline Pm8CoRu3Br4 at its relaxed geometry.

Structure (POSCAR):
```
Pm8CoRu3Br4
1.0
8.066 0.000 0.000
0.000 9.081 0.703
-4.033 -4.030 5.709
Pm Ru Br Co
8 3 4 1
direct
0.770 0.304 0.035
0.733 0.698 0.466
0.265 0.304 0.035
0.770 0.305 0.539
0.267 0.302 0.534
0.230 0.696 0.965
0.735 0.696 0.965
0.230 0.695 0.461
0.000 0.500 0.500
0.500 0.500 0.500
0.500 0.500 0.000
0.000 0.000 0.500
0.500 0.000 0.000
0.000 0.000 0.000
0.500 0.000 0.500
0.000 0.500 0.000
```

Values from the calculation:
Formation energy without anion corrections (meV/atom): -753
Space-group type: R-3m, No. 166

---

# 17
A plane-wave DFT calculation with PBE-GGA was carried out for crystalline AlTePd3 at its relaxed geometry.

Structure (POSCAR):
```
AlTePd3
1.0
-1.782 -4.637 -0.288
1.366 -0.818 4.715
-4.441 1.610 1.566
Al Pd Te
1 3 1
direct
0.500 0.500 0.500
0.500 0.000 0.000
0.000 0.500 0.000
0.000 0.000 0.500
0.000 0.000 0.000
```

Values from the calculation:
Formation energy without anion corrections (meV/atom): 394
Energy above the most stable polymorph in this dataset (meV/atom): 402
Space-group type: Pm-3m, No. 221

---

# 18
A plane-wave DFT calculation with PBE-GGA was carried out for crystalline Os3Se at its relaxed geometry.

Structure (POSCAR):
```
Os3Se
1.0
4.034 0.000 0.000
0.000 2.865 -0.001
0.000 1.501 5.161
Os Se
3 1
direct
0.000 0.127 0.001
0.500 0.750 0.750
0.000 0.373 0.499
0.500 0.250 0.250
```

Values from the calculation:
Formation energy without anion corrections (meV/atom): 650
Energy above the most stable polymorph in this dataset (meV/atom): 117
Space-group type: P2/m, No. 10

---

# 19
A plane-wave DFT calculation with PBE-GGA was carried out for crystalline ScAl2Cl at its relaxed geometry.

Structure (POSCAR):
```
ScAl2Cl
1.0
-6.063 -0.297 0.411
0.470 -1.782 4.458
4.764 4.351 -2.714
Sc Cl Al
1 1 2
direct
0.725 0.274 0.338
0.440 0.556 0.058
0.281 0.723 0.480
0.054 0.946 0.124
```

Values from the calculation:
Formation energy without anion corrections (meV/atom): -415
Energy above the most stable polymorph in this dataset (meV/atom): 113
Space-group type: P1, No. 1

---

# 20
A plane-wave DFT calculation with PBE-GGA was carried out for crystalline TcBiSb2 at its relaxed geometry.

Structure (POSCAR):
```
TcBiSb2
1.0
3.267 0.013 0.275
0.006 6.529 -0.382
0.799 1.544 9.760
Tc Sb Bi
2 4 2
direct
0.782 0.276 0.544
0.274 0.910 0.560
0.847 0.675 0.411
0.383 0.188 0.338
0.208 0.511 0.693
0.672 0.998 0.765
0.057 0.376 0.000
0.998 0.810 0.103
```

Values from the calculation:
Formation energy without anion corrections (meV/atom): -16
Space-group type: P-1, No. 2

---

# 21
A plane-wave DFT calculation with PBE-GGA was carried out for crystalline Ca3SmSb2P at its relaxed geometry.

Structure (POSCAR):
```
Ca3SmSb2P
1.0
-3.618 -1.522 3.682
0.293 -4.902 -1.739
7.668 1.700 4.305
Ca P Sb Sm
3 1 2 1
direct
0.825 0.825 0.650
0.000 0.500 0.000
0.175 0.175 0.350
0.000 0.000 0.000
0.633 0.633 0.266
0.367 0.367 0.734
0.500 0.000 0.000
```

Values from the calculation:
Formation energy without anion corrections (meV/atom): -1017
Space-group type: Immm, No. 71

---

# 22
A plane-wave DFT calculation with PBE-GGA was carried out for crystalline AlTeAs4 at its relaxed geometry.

Structure (POSCAR):
```
AlTeAs4
1.0
0.000 4.185 4.185
4.185 0.000 4.185
4.185 4.185 0.000
As Te Al
4 1 1
direct
0.392 0.392 0.392
0.392 0.825 0.392
0.392 0.392 0.825
0.825 0.392 0.392
0.750 0.750 0.750
0.000 0.000 0.000
```

Values from the calculation:
Formation energy without anion corrections (meV/atom): 459
Space-group type: F-43m, No. 216

---

# 23
A plane-wave DFT calculation with PBE-GGA was carried out for crystalline NaNi3Br at its relaxed geometry.

Structure (POSCAR):
```
NaNi3Br
1.0
-2.494 -3.339 -1.544
2.619 -0.302 -3.578
2.584 -2.918 2.137
Ni Br Na
3 1 1
direct
0.000 0.500 0.000
0.500 0.000 0.000
0.000 0.000 0.500
0.000 0.000 0.000
0.500 0.500 0.500
```

Values from the calculation:
Formation energy without anion corrections (meV/atom): 661
Energy above the most stable polymorph in this dataset (meV/atom): 0
Space-group type: Pm-3m, No. 221